Record 1
First-principles (PBE) data for CaPrGdLu after structural relaxation, as listed in the Alexandria database.

Its symmetry is No. 216. As for the crystal system: cubic. The value obtained for the total energy is -0.22900 hartree per atom.

Unit cell a=5.7858 b=5.7858 c=5.7858 alpha=60.00 beta=60.00 gamma=60.00
Element x y z (fractional)
Ca1 0.0000 0.0000 0.0000
Lu1 0.5000 0.5000 0.5000
Pr1 0.2500 0.2500 0.2500
Gd1 0.7500 0.7500 0.7500

=====

Record 2
First-principles (PBE) data for CaSmGdLu after structural relaxation, as listed in the Alexandria database.

Its symmetry is No. 216. As for the crystal system: cubic. The value obtained for the total energy is -0.22789 hartree per atom.

Unit cell a=5.7522 b=5.7522 c=5.7522 alpha=60.00 beta=60.00 gamma=60.00
Element x y z (fractional)
Sm1 0.2500 0.2500 0.2500
Lu1 0.0000 0.0000 0.0000
Gd1 0.7500 0.7500 0.7500
Ca1 0.5000 0.5000 0.5000

=====

Record 3
First-principles (PBE) data for CaGdLuTh after structural relaxation, as listed in the Alexandria database.

Its symmetry is No. 216. As for the crystal system: cubic. The value obtained for the total energy is -0.25028 hartree per atom.

Unit cell a=5.7195 b=5.7195 c=5.7195 alpha=60.00 beta=60.00 gamma=60.00
Element x y z (fractional)
Ca1 0.2500 0.2500 0.2500
Th1 0.0000 0.0000 0.0000
Lu1 0.7500 0.7500 0.7500
Gd1 0.5000 0.5000 0.5000

=====

Record 4
First-principles (PBE) data for CaGdTmLu after structural relaxation, as listed in the Alexandria database.

Its symmetry is No. 216. As for the crystal system: cubic. The value obtained for the total energy is -0.22450 hartree per atom.

Unit cell a=5.6928 b=5.6928 c=5.6928 alpha=60.00 beta=60.00 gamma=60.00
Element x y z (fractional)
Tm1 0.5000 0.5000 0.5000
Lu1 0.7500 0.7500 0.7500
Ca1 0.2500 0.2500 0.2500
Gd1 0.0000 0.0000 0.0000

=====

Record 5
First-principles (PBE) data for CaGdYLu after structural relaxation, as listed in the Alexandria database.

Its symmetry is No. 216. As for the crystal system: cubic. The value obtained for the total energy is -0.24334 hartree per atom.

Unit cell a=5.7278 b=5.7278 c=5.7278 alpha=60.00 beta=60.00 gamma=60.00
Element x y z (fractional)
Lu1 0.5000 0.5000 0.5000
Y1 0.7500 0.7500 0.7500
Ca1 0.0000 0.0000 0.0000
Gd1 0.2500 0.2500 0.2500

=====

Record 6
First-principles (PBE) data for CaGdMg2 after structural relaxation, as listed in the Alexandria database.

Its symmetry is No. 123. As for the crystal system: tetragonal. The value obtained for the total energy is -0.18028 hartree per atom.

Unit cell a=3.9042 b=3.9042 c=7.7327 alpha=90.00 beta=90.00 gamma=90.00
Element x y z (fractional)
Ca1 0.5000 0.5000 0.5000
Mg1 0.0000 0.0000 0.7626
Gd1 0.5000 0.5000 0.0000
Mg2 0.0000 0.0000 0.2374

=====

no.,total moment (Bohr magnetons per cell),energy relative to the elements (eV/atom),theoretical density (g/cm3)
1,7.37,0.1142,6.22
2,7.42,0.1295,6.45
3,7.31,0.1954,7.59
4,7.49,0.1598,6.89
5,7.52,0.1453,5.76
6,7.54,-0.0877,3.46